{"formula": "Sr2ScPt", "functional": "PBE", "state": "optimized geometry", "final_energy_ev_per_atom": -4.36, "mass_density_g_cm3": 5.11, "delta_e_f_ev_per_atom": -0.4219, "crystal_system": "orthorhombic", "spacegroup": "No. 71", "magmom_total_mub_per_atom": 0.000, "de_polymorph_mev_per_atom": 35, "lattice_angstrom": [[9.3899, 0.0060, 0.0072], [8.6851, 3.5692, 0.0072], [0.9062, 0.1792, 4.0333]], "species": ["Pt", "Sc", "Sr", "Sr"], "frac_coords": [[0.7500, 0.7500, 0.7500], [0.2500, 0.2500, 0.2500], [0.0947, 0.0947, 0.9048], [0.4053, 0.4053, 0.5952]]}